A plane-wave DFT calculation with PBE was carried out for crystalline PmMgPb2 at its relaxed geometry.

The crystal system is trigonal. The total DFT energy (no corrections) is -3.64 eV/atom. Its formation energy is -0.20 eV/atom.

The space group is R3m (No. 160, hexagonal axes) and the conventional cell measures 4.6425, 4.6425 and 20.1001 Å, with angles of 90.00, 90.00 and 120.00 degrees. The asymmetric unit holds Pm at (0.0000, 0.0000, 0.0000), Mg at (0.0000, 0.0000, 0.8204), Pb at (0.0000, 0.0000, 0.4177) and Pb at (0.0000, 0.0000, 0.5717).